First-principles (GGA-PBE) data for an optimized crystal structure of La8Ga3PBr4, as listed in Alexandria via LeMat-Bulk.

Cell: 8.852 8.852 8.852 Å, 59.75 59.75 59.75°
Sites, in units of the cell vectors:
La: 0.244 0.244 0.244
La: 0.248 0.738 0.738
La: 0.262 0.262 0.752
La: 0.262 0.752 0.262
La: 0.738 0.248 0.738
La: 0.738 0.738 0.248
La: 0.752 0.262 0.262
La: 0.756 0.756 0.756
Ga: 0.000 0.000 0.500
Ga: 0.000 0.500 0.000
Ga: 0.500 0.000 0.000
P: 0.500 0.500 0.500
Br: 0.000 0.000 0.000
Br: 0.000 0.500 0.500
Br: 0.500 0.000 0.500
Br: 0.500 0.500 0.000

SG   R-3m, No. 166

***

First-principles (GGA-PBE) data for an optimized crystal structure of LaPrGaBr, as listed in Alexandria via LeMat-Bulk.

Cell: 7.617 7.617 7.617 Å, 90.00 90.00 90.00°
Sites, in units of the cell vectors:
La: 0.000 0.000 0.000
La: 0.000 0.500 0.500
La: 0.500 0.000 0.500
La: 0.500 0.500 0.000
Pr: 0.000 0.000 0.500
Pr: 0.000 0.500 0.000
Pr: 0.500 0.000 0.000
Pr: 0.500 0.500 0.500
Ga: 0.250 0.250 0.750
Ga: 0.250 0.750 0.250
Ga: 0.750 0.250 0.250
Ga: 0.750 0.750 0.750
Br: 0.250 0.250 0.250
Br: 0.250 0.750 0.750
Br: 0.750 0.250 0.750
Br: 0.750 0.750 0.250

SG   F-43m, No. 216

***

First-principles (GGA-PBE) data for an optimized crystal structure of La8GaPt3Br4, as listed in Alexandria via LeMat-Bulk.

Cell: 9.186 9.186 9.186 Å, 56.26 56.26 56.26°
Sites, in units of the cell vectors:
La: 0.227 0.740 0.740
La: 0.235 0.235 0.235
La: 0.260 0.260 0.773
La: 0.260 0.773 0.260
La: 0.740 0.227 0.740
La: 0.740 0.740 0.227
La: 0.765 0.765 0.765
La: 0.773 0.260 0.260
Ga: 0.500 0.500 0.500
Pt: 0.000 0.000 0.500
Pt: 0.000 0.500 0.000
Pt: 0.500 0.000 0.000
Br: 0.000 0.000 0.000
Br: 0.000 0.500 0.500
Br: 0.500 0.000 0.500
Br: 0.500 0.500 0.000

SG   R-3m, No. 166

***

First-principles (GGA-PBE) data for an optimized crystal structure of La4GaPtBr2, as listed in Alexandria via LeMat-Bulk.

Cell: 7.840 4.209 7.845 Å, 90.00 107.72 90.00°
Sites, in units of the cell vectors:
La: 0.227 0.000 0.208
La: 0.250 0.500 0.770
La: 0.750 0.500 0.230
La: 0.773 0.000 0.792
Ga: 0.500 0.000 0.000
Pt: 0.000 0.500 0.000
Br: 0.000 0.000 0.500
Br: 0.500 0.500 0.500

SG   P2/m, No. 10

***

First-principles (GGA-PBE) data for an optimized crystal structure of LaGaPtBr, as listed in Alexandria via LeMat-Bulk.

Cell: 13.729 13.729 13.729 Å, 18.54 18.54 18.54°
Sites, in units of the cell vectors:
La: 0.078 0.078 0.078
La: 0.922 0.922 0.922
Ga: 0.308 0.308 0.308
Ga: 0.692 0.692 0.692
Pt: 0.371 0.371 0.371
Pt: 0.629 0.629 0.629
Br: 0.209 0.209 0.209
Br: 0.791 0.791 0.791

SG   R-3m, No. 166

***

First-principles (GGA-PBE) data for an optimized crystal structure of Rb2LaGaBr6, as listed in Alexandria via LeMat-Bulk.

Cell: 8.414 8.414 8.414 Å, 60.00 60.00 60.00°
Sites, in units of the cell vectors:
Rb: 0.250 0.250 0.250
Rb: 0.750 0.750 0.750
La: 0.000 0.000 0.000
Ga: 0.500 0.500 0.500
Br: 0.246 0.246 0.754
Br: 0.246 0.754 0.246
Br: 0.246 0.754 0.754
Br: 0.754 0.246 0.246
Br: 0.754 0.246 0.754
Br: 0.754 0.754 0.246

SG   Fm-3m, No. 225

***

First-principles (GGA-PBE) data for an optimized crystal structure of La8GaRh3Br4, as listed in Alexandria via LeMat-Bulk.

Cell: 9.244 9.244 9.244 Å, 55.03 55.03 55.03°
Sites, in units of the cell vectors:
La: 0.219 0.740 0.740
La: 0.235 0.235 0.235
La: 0.260 0.260 0.781
La: 0.260 0.781 0.260
La: 0.740 0.219 0.740
La: 0.740 0.740 0.219
La: 0.765 0.765 0.765
La: 0.781 0.260 0.260
Ga: 0.500 0.500 0.500
Rh: 0.000 0.000 0.500
Rh: 0.000 0.500 0.000
Rh: 0.500 0.000 0.000
Br: 0.000 0.000 0.000
Br: 0.000 0.500 0.500
Br: 0.500 0.000 0.500
Br: 0.500 0.500 0.000

SG   R-3m, No. 166

***

First-principles (GGA-PBE) data for an optimized crystal structure of La8GaRu3Br4, as listed in Alexandria via LeMat-Bulk.

Cell: 9.268 9.268 9.268 Å, 54.50 54.50 54.50°
Sites, in units of the cell vectors:
La: 0.213 0.740 0.740
La: 0.235 0.235 0.235
La: 0.260 0.260 0.787
La: 0.260 0.787 0.260
La: 0.740 0.213 0.740
La: 0.740 0.740 0.213
La: 0.765 0.765 0.765
La: 0.787 0.260 0.260
Ga: 0.500 0.500 0.500
Ru: 0.000 0.000 0.500
Ru: 0.000 0.500 0.000
Ru: 0.500 0.000 0.000
Br: 0.000 0.000 0.000
Br: 0.000 0.500 0.500
Br: 0.500 0.000 0.500
Br: 0.500 0.500 0.000

SG   R-3m, No. 166

***

First-principles (GGA-PBE) data for an optimized crystal structure of La4GaSBr2, as listed in Alexandria via LeMat-Bulk.

Cell: 7.319 4.340 7.855 Å, 90.00 109.22 90.00°
Sites, in units of the cell vectors:
La: 0.229 0.000 0.212
La: 0.250 0.500 0.780
La: 0.750 0.500 0.220
La: 0.771 0.000 0.788
Ga: 0.500 0.000 0.000
S: 0.000 0.500 0.000
Br: 0.000 0.000 0.500
Br: 0.500 0.500 0.500

SG   P2/m, No. 10

***

First-principles (GGA-PBE) data for an optimized crystal structure of La6GaS2Br3, as listed in Alexandria via LeMat-Bulk.

Cell: 7.251 7.251 7.992 Å, 98.71 98.71 120.00°
Sites, in units of the cell vectors:
La: 0.084 0.429 0.789
La: 0.224 0.224 0.210
La: 0.429 0.084 0.789
La: 0.571 0.916 0.211
La: 0.776 0.776 0.790
La: 0.916 0.571 0.211
Ga: 0.500 0.500 0.000
S: 0.167 0.833 0.000
S: 0.833 0.167 0.000
Br: 0.000 0.000 0.500
Br: 0.339 0.661 0.500
Br: 0.661 0.339 0.500

SG   C2/m, No. 12

***

First-principles (GGA-PBE) data for an optimized crystal structure of LaGaSeBr2, as listed in Alexandria via LeMat-Bulk.

Cell: 5.242 5.242 5.218 Å, 90.00 90.00 90.00°
Sites, in units of the cell vectors:
La: 0.000 0.000 0.000
Ga: 0.500 0.500 0.500
Se: 0.500 0.500 0.000
Br: 0.000 0.500 0.500
Br: 0.500 0.000 0.500

SG   P4/mmm, No. 123
Offset from the most stable computed form   390 meV/atom

***

First-principles (GGA-PBE) data for an optimized crystal structure of LaGaSe2Br, as listed in Alexandria via LeMat-Bulk.

Cell: 5.559 5.559 15.842 Å, 90.00 90.00 90.00°
Sites, in units of the cell vectors:
La: 0.000 0.000 0.000
Ga: 0.000 0.000 0.500
Se: 0.000 0.500 0.000
Se: 0.500 0.000 0.000
Br: 0.500 0.500 0.500

SG   P4/mmm, No. 123
Offset from the most stable computed form   488 meV/atom

***

Number 1: formation energy from raw total energies -1113 meV/atom. Number 2: formation energy from raw total energies -736 meV/atom. Number 3: formation energy from raw total energies -1216 meV/atom. Number 4: formation energy from raw total energies -1118 meV/atom. Number 5: formation energy from raw total energies -1273 meV/atom. Number 6: formation energy from raw total energies -1586 meV/atom. Number 7: formation energy from raw total energies -1088 meV/atom. Number 8: formation energy from raw total energies -943 meV/atom. Number 9: formation energy from raw total energies -1375 meV/atom. Number 10: formation energy from raw total energies -1521 meV/atom. Number 11: formation energy from raw total energies -772 meV/atom. Number 12: formation energy from raw total energies -399 meV/atom.